Here is a geometry-optimized SiSb2Rh structure from Alexandria via LeMat-Bulk. Energies are from PBE-GGA.

Results
raw formation energy	-17	meV per atom
total energy	-5.27	eV per atom
volume	85.7	Å³/cell
space group	R3m, No. 160
Fermi-level density of states	2.38	states/eV/f.u.
magnetic moment	0.000	μB/f.u.

POSCAR file:
```
SiSb2Rh
1.0
9.7999 -0.0084 -0.0050
9.2777 3.1562 -0.0050
9.2777 1.5308 2.7602
Rh Sb Si
1 2 1
direct
0.7615 0.7615 0.7615
0.0230 0.0230 0.0230
0.2305 0.2305 0.2305
0.4849 0.4849 0.4849
```

***

Here is a geometry-optimized AcSmScIn structure from Alexandria via LeMat-Bulk. Energies are from PBE-GGA.

Results
ΔH_f (0 K)	-0.10	eV per formula unit
total energy	-4.50	eV per atom
volume	118.9	Å³/cell
space group	F-43m, No. 216
Fermi-level density of states	8.53	states/eV/f.u.
magnetic moment	0.021	μB/f.u.

POSCAR file:
```
AcSmScIn
1.0
5.5199 0.0000 0.0000
2.7599 4.7803 0.0000
2.7599 1.5934 4.5069
Sc Ac Sm In
1 1 1 1
direct
0.0000 0.0000 0.0000
0.7500 0.7500 0.7500
0.5000 0.5000 0.5000
0.2500 0.2500 0.2500
```

***

Here is a geometry-optimized La5Ru structure from Alexandria via LeMat-Bulk. Energies are from PBE-GGA.

Results
ΔH_f (0 K)	0.15	eV per formula unit
total energy	-5.63	eV per atom
volume	189.4	Å³/cell
space group	Cmmm, No. 65
Fermi-level density of states	7.28	states/eV/f.u.
energy above the lowest structure with this stoichiometry	118	meV per atom
magnetic moment	0.000	μB/f.u.

POSCAR file:
```
La5Ru
1.0
0.2728 7.3380 2.0016
-0.9726 -5.0886 -5.5757
-5.9532 -0.0824 1.1137
La Ru
5 1
direct
0.6419 0.3581 0.5000
0.8722 0.1278 0.0000
0.0000 0.0000 0.5000
0.1278 0.8722 0.0000
0.3581 0.6419 0.5000
0.5000 0.5000 0.0000
```

***

Here is a geometry-optimized Rb2TiBBr6 structure from Alexandria via LeMat-Bulk. Energies are from PBE-GGA.

Results
raw formation energy	-845	meV per atom
total energy	-3.50	eV per atom
volume	304.8	Å³/cell
space group	I4/mmm, No. 139
Fermi-level density of states	8.24	states/eV/f.u.
magnetic moment	1.000	μB/f.u.

POSCAR file:
```
Rb2TiBBr6
1.0
-2.7842 -3.8151 -5.8982
6.6464 0.6229 -3.5403
3.5376 -6.1836 -2.5103
B Br Rb Ti
1 6 2 1
direct
0.5000 0.5000 0.0000
0.2444 0.2444 0.5113
0.7556 0.7556 0.4887
0.2441 0.2441 0.0000
0.7559 0.7559 0.0000
0.7559 0.2441 0.0000
0.2441 0.7559 0.0000
0.7500 0.2500 0.5000
0.2500 0.7500 0.5000
0.0000 0.0000 0.0000
```

***

Here is a geometry-optimized BaLiCdIn structure from Alexandria via LeMat-Bulk. Energies are from PBE-GGA.

Results
ΔH_f (0 K)	-1.25	eV per formula unit
total energy	-2.18	eV per atom
volume	124.1	Å³/cell
space group	Cm, No. 8
Fermi-level density of states	1.70	states/eV/f.u.
energy above the lowest structure with this stoichiometry	0	meV per atom
magnetic moment	0.000	μB/f.u.

POSCAR file:
```
BaLiCdIn
1.0
4.9287 0.0000 0.0000
-2.4644 4.2674 0.0000
0.0000 -2.8377 5.8993
Ba Li Cd In
1 1 1 1
direct
0.6164 0.2329 0.4911
0.8084 0.6168 0.0677
0.4159 0.8317 0.8895
0.1256 0.2511 0.0190
```

***

Here is a geometry-optimized Tm2Co9Si6 structure from Alexandria via LeMat-Bulk. Energies are from PBE-GGA.

Results
raw formation energy	-471	meV per atom
total energy	-6.67	eV per atom
volume	239.0	Å³/cell
space group	P6/mmm, No. 191
Fermi-level density of states	16.52	states/eV/f.u.
magnetic moment	1.411	μB/f.u.

POSCAR file:
```
Tm2Co9Si6
1.0
5.1223 0.0000 0.0000
-2.5611 4.4360 0.0000
0.0000 0.0000 10.5165
Tm Co Si
2 9 6
direct
0.0000 0.0000 0.6842
0.0000 0.0000 0.3158
0.5000 0.0000 0.8321
0.0000 0.5000 0.8321
0.5000 0.5000 0.8321
0.5000 0.0000 0.1679
0.0000 0.5000 0.1679
0.5000 0.5000 0.1679
0.5000 0.0000 0.5000
0.0000 0.5000 0.5000
0.5000 0.5000 0.5000
0.3333 0.6667 0.0000
0.6667 0.3333 0.0000
0.3333 0.6667 0.6651
0.6667 0.3333 0.6651
0.6667 0.3333 0.3349
0.3333 0.6667 0.3349
```

***

Here is a geometry-optimized Y4GaN structure from Alexandria via LeMat-Bulk. Energies are from PBE-GGA.

Results
raw formation energy	-644	meV per atom
total energy	-6.85	eV per atom
volume	303.7	Å³/cell
space group	P2/m, No. 10
Fermi-level density of states	5.32	states/eV/f.u.
magnetic moment	1.033	μB/f.u.

POSCAR file:
```
Y4GaN
1.0
3.5620 0.0000 0.0000
0.0000 9.9113 1.1307
0.0000 -2.8205 8.2810
Y Ga N
8 2 2
direct
0.5001 0.6689 0.5515
0.5001 0.8311 0.9485
0.9997 0.9939 0.2807
0.9997 0.5061 0.2193
0.0003 0.0061 0.7193
0.0003 0.4939 0.7807
0.4999 0.1689 0.0515
0.4999 0.3311 0.4485
0.5006 0.2500 0.7500
0.4994 0.7500 0.2500
0.0000 0.5000 0.5000
0.0000 0.0000 0.0000
```

***

Here is a geometry-optimized TbYTe2 structure from Alexandria via LeMat-Bulk. Energies are from PBE-GGA.

Results
raw formation energy	-1190	meV per atom
total energy	-5.53	eV per atom
volume	109.4	Å³/cell
space group	Fm-3m, No. 225
Fermi-level density of states	2.21	states/eV/f.u.
energy above the lowest structure with this stoichiometry	145	meV per atom
magnetic moment	1.353	μB/f.u.

POSCAR file:
```
TbYTe2
1.0
-2.4500 -2.5588 4.0325
-4.2145 -3.1701 -0.9998
0.4732 -5.3251 0.4809
Y Te Tb
1 2 1
direct
0.0000 0.0000 0.0000
0.2500 0.2500 0.2500
0.7500 0.7500 0.7500
0.5000 0.5000 0.5000
```

***

Here is a geometry-optimized BaLi2La structure from Alexandria via LeMat-Bulk. Energies are from PBE-GGA.

Results
ΔH_f (0 K)	0.88	eV per formula unit
total energy	-2.45	eV per atom
volume	142.5	Å³/cell
space group	R-3m, No. 166
Fermi-level density of states	6.10	states/eV/f.u.
energy above the lowest structure with this stoichiometry	102	meV per atom
magnetic moment	0.021	μB/f.u.

POSCAR file:
```
BaLi2La
1.0
-5.2154 -1.3899 10.2678
-1.8516 -2.9732 11.0586
-2.2942 0.7912 11.3434
Ba La Li
1 1 2
direct
0.2500 0.2500 0.2500
0.7500 0.7500 0.7500
0.0039 0.0039 0.0039
0.4961 0.4961 0.4961
```

***

Here is a geometry-optimized KNa3Cd structure from Alexandria via LeMat-Bulk. Energies are from PBE-GGA.

Results
ΔH_f (0 K)	0.19	eV per formula unit
total energy	-1.16	eV per atom
volume	220.1	Å³/cell
space group	Pm-3m, No. 221
Fermi-level density of states	1.95	states/eV/f.u.
energy above the lowest structure with this stoichiometry	59	meV per atom
magnetic moment	0.000	μB/f.u.

POSCAR file:
```
KNa3Cd
1.0
-3.0280 2.4750 4.5994
-5.1684 -0.6531 -3.0511
-0.7533 -5.4678 2.4464
Na K Cd
3 1 1
direct
0.0000 0.5000 0.0000
0.0000 0.0000 0.5000
0.5000 0.0000 0.0000
0.5000 0.5000 0.5000
0.0000 0.0000 0.0000
```